1.
A plane-wave DFT calculation with PBE+U was carried out for crystalline BiMoH2O at its relaxed geometry.

Cell lengths 4.0284, 4.0284, 4.7440 Å; angles 90.00, 90.00, 90.00 degrees
With the nearest neighbours (Å) after each atom.
Space group P4/mmm (No. 123)
Asymmetric unit:
1 Bi 0.0000 0.0000 0.0000  2 O 2.37
2 Mo 0.5000 0.5000 0.0000  4 Bi 2.85, 8 H 3.11
3 H 0.0000 0.5000 0.5000  2 O 2.01
4 O 0.0000 0.0000 0.5000  4 H 2.01

Calculated values
calculated volume	15.4	A^3/atom
energy	-3.53	eV per atom

2.
A plane-wave DFT calculation with PBE+U was carried out for crystalline Bi2MoHO6 at its relaxed geometry.

Cell lengths 5.7628, 8.5669, 7.4926 Å; angles 90.00, 127.22, 90.00 degrees
With the nearest neighbours (Å) after each atom.
Space group P2_1/c (No. 14)
Asymmetric unit:
1 Bi 0.1736 0.1830 0.4035  4 O 2.22-2.33
2 Mo 0.5000 0.0000 0.0000  6 O 1.93-2.11
3 H 0.0000 0.0000 0.0000  2 O 1.22
4 O 0.1985 0.1116 0.7113  1 Mo 2.02
5 O 0.2120 0.0807 0.0643  1 H 1.22
6 O 0.3013 0.6956 0.3693  1 Mo 1.93

Calculated values
calculated volume	14.7	A^3/atom
energy	-6.07	eV per atom